Model i:
Density functional theory data (GGA-PBE) for crystalline KNbRe2 at its relaxed geometry.

abc: 4.6788 4.6788 4.6788
angles: 60.00 60.00 60.00
With the nearest neighbours (Å) after each atom.
Positions (direct):
Re  0.7500  0.7500  0.7500  4 Nb 2.87, 4 K 2.87
K  0.0000  0.0000  0.0000  8 Re 2.87
Re  0.2500  0.2500  0.2500  4 Nb 2.87, 4 K 2.87
Nb  0.5000  0.5000  0.5000  8 Re 2.87

Results
As for the space group: Fm-3m. Its magnetization is 0.00 μB/atom.

Model ii:
Density functional theory data (GGA-PBE) for crystalline KNbRe2 at its relaxed geometry.

abc: 4.9332 4.9332 9.6008
angles: 75.11 75.11 90.00
With the nearest neighbours (Å) after each atom.
Positions (direct):
Nb  0.7500  0.2500  0.5000  4 Re 2.56
Re  0.8307  0.1250  0.2500  2 Re 2.51, 2 Nb 2.56
Re  0.9193  0.6250  0.2500  2 Re 2.51, 2 Nb 2.56
Re  0.8750  0.0807  0.7500  2 Re 2.51, 2 Nb 2.56
Nb  0.0000  0.0000  0.0000  4 Re 2.56
Re  0.3750  0.1693  0.7500  2 Re 2.51, 2 Nb 2.56
K  0.5000  0.5000  0.0000  8 Re 3.40-3.71, 4 Nb 3.49
K  0.2500  0.7500  0.5000  8 Re 3.40-3.71, 4 Nb 3.49

Results
As for the space group: I-42d. Its magnetization is 0.00 μB/atom.

It is model i that is most stable; the runner-up trails by 188 meV per atom.

Model i:
Density functional theory data (GGA-PBE) for crystalline KNb3Rh at its relaxed geometry.

abc: 4.5641 4.5641 4.5641
angles: 90.00 90.00 90.00
With the nearest neighbours (Å) after each atom.
Positions (direct):
K  0.0000  0.0000  0.0000  6 Nb 2.28
Nb  0.0000  0.0000  0.5000  2 K 2.28
Nb  0.5000  0.0000  0.0000  2 K 2.28
Rh  0.5000  0.5000  0.5000  12 Nb 3.23
Nb  0.0000  0.5000  0.0000  2 K 2.28

Results
As for the space group: Pm-3m. Its magnetization is 0.00 μB/atom.

Model ii:
Density functional theory data (GGA-PBE) for crystalline KNb3Rh at its relaxed geometry.

abc: 4.9864 4.9864 4.9864
angles: 90.00 90.00 90.00
With the nearest neighbours (Å) after each atom.
Positions (direct):
Nb  0.5000  0.0000  0.0000  2 Rh 2.49
Rh  0.0000  0.0000  0.0000  6 Nb 2.49
Nb  0.0000  0.5000  0.0000  2 Rh 2.49
K  0.5000  0.5000  0.5000  12 Nb 3.53
Nb  0.0000  0.0000  0.5000  2 Rh 2.49

Results
As for the space group: Pm-3m. Its magnetization is 0.00 μB/atom.

It is model ii that is most stable; the runner-up trails by 1374 meV per atom.

Model i:
Density functional theory data (GGA-PBE) for crystalline K2NbRu at its relaxed geometry.

abc: 12.7132 12.7132 9.2804
angles: 46.77 46.77 90.00
With the nearest neighbours (Å) after each atom.
Positions (direct):
K  0.8750  0.0405  0.7500  2 Ru 3.40, 2 Nb 3.77
Ru  0.7500  0.2500  0.5000  2 Nb 2.30
K  0.7905  0.1250  0.2500  2 Ru 3.40, 2 Nb 3.77
Nb  0.5000  0.5000  0.0000  2 Ru 2.30
Ru  0.0000  0.0000  0.0000  2 Nb 2.30
K  0.9595  0.6250  0.2500  2 Ru 3.40, 2 Nb 3.77
K  0.3750  0.2095  0.7500  2 Ru 3.40, 2 Nb 3.77
Nb  0.2500  0.7500  0.5000  2 Ru 2.30

Results
As for the space group: I-42d. Its magnetization is 0.25 μB/atom.

Model ii:
Density functional theory data (GGA-PBE) for crystalline K2NbRu at its relaxed geometry.

abc: 5.2429 5.2429 5.2429
angles: 60.00 60.00 60.00
With the nearest neighbours (Å) after each atom.
Positions (direct):
Ru  0.5000  0.5000  0.5000  8 K 3.21
Nb  0.0000  0.0000  0.0000  8 K 3.21
K  0.2500  0.2500  0.2500  4 Ru 3.21, 4 Nb 3.21
K  0.7500  0.7500  0.7500  4 Ru 3.21, 4 Nb 3.21

Results
As for the space group: Fm-3m. Its magnetization is 0.00 μB/atom.

It is model i that is most stable; the runner-up trails by 1030 meV per atom.

Model i:
Density functional theory data (GGA-PBE) for crystalline KNbRu3 at its relaxed geometry.

abc: 4.8682 4.8682 4.8682
angles: 90.00 90.00 90.00
With the nearest neighbours (Å) after each atom.
Positions (direct):
Ru  0.0000  0.5000  0.0000  2 Nb 2.43
K  0.5000  0.5000  0.5000  12 Ru 3.44
Nb  0.0000  0.0000  0.0000  6 Ru 2.43
Ru  0.0000  0.0000  0.5000  2 Nb 2.43
Ru  0.5000  0.0000  0.0000  2 Nb 2.43

Results
As for the space group: Pm-3m. Its magnetization is 0.64 μB/atom.

Model ii:
Density functional theory data (GGA-PBE) for crystalline KNbRu3 at its relaxed geometry.

abc: 4.4900 4.4900 4.4900
angles: 90.00 90.00 90.00
With the nearest neighbours (Å) after each atom.
Positions (direct):
Ru  0.5000  0.0000  0.0000  2 K 2.24
K  0.0000  0.0000  0.0000  6 Ru 2.24
Ru  0.0000  0.0000  0.5000  2 K 2.24
Ru  0.0000  0.5000  0.0000  2 K 2.24
Nb  0.5000  0.5000  0.5000  12 Ru 3.17

Results
As for the space group: Pm-3m. Its magnetization is 0.00 μB/atom.

It is model i that is most stable; the runner-up trails by 1275 meV per atom.

Model i:
Density functional theory data (GGA-PBE) for crystalline KNbRu2 at its relaxed geometry.

abc: 4.6345 4.6345 4.6345
angles: 60.00 60.00 60.00
With the nearest neighbours (Å) after each atom.
Positions (direct):
Nb  0.5000  0.5000  0.5000  8 Ru 2.84
K  0.0000  0.0000  0.0000  8 Ru 2.84
Ru  0.7500  0.7500  0.7500  4 Nb 2.84, 4 K 2.84
Ru  0.2500  0.2500  0.2500  4 Nb 2.84, 4 K 2.84

Results
As for the space group: Fm-3m. Its magnetization is 0.00 μB/atom.

Model ii:
Density functional theory data (GGA-PBE) for crystalline KNbRu2 at its relaxed geometry.

abc: 5.1455 5.1455 8.9030
angles: 73.20 73.20 90.00
With the nearest neighbours (Å) after each atom.
Positions (direct):
Ru  0.8750  0.0504  0.7500  2 Nb 2.43, 2 Ru 2.68
Nb  0.7500  0.2500  0.5000  4 Ru 2.43
Ru  0.8004  0.1250  0.2500  2 Nb 2.43, 2 Ru 2.68
K  0.2500  0.7500  0.5000  4 Ru 3.25, 4 Nb 3.64
K  0.5000  0.5000  0.0000  4 Ru 3.25, 4 Nb 3.64
Nb  0.0000  0.0000  0.0000  4 Ru 2.43
Ru  0.9496  0.6250  0.2500  2 Nb 2.43, 2 Ru 2.68
Ru  0.3750  0.1996  0.7500  2 Nb 2.43, 2 Ru 2.68

Results
As for the space group: I-42d. Its magnetization is 0.00 μB/atom.

It is model i that is most stable; the runner-up trails by 329 meV per atom.

Model i:
Density functional theory data (GGA-PBE) for crystalline KNbS4 at its relaxed geometry.

abc: 4.1052 4.1052 8.1812
angles: 90.00 90.00 90.00
With the nearest neighbours (Å) after each atom.
Positions (direct):
S  0.5000  0.0000  0.3075  2 Nb 2.59
S  0.0000  0.5000  0.6925  2 Nb 2.59
Nb  0.5000  0.5000  0.5000  8 S 2.59
S  0.5000  0.0000  0.6925  2 Nb 2.59
K  0.0000  0.0000  0.0000  8 S 3.25
S  0.0000  0.5000  0.3075  2 Nb 2.59

Results
As for the space group: P4/mmm. Its magnetization is 0.01 μB/atom.

Model ii:
Density functional theory data (GGA-PBE) for crystalline KNbS4 at its relaxed geometry.

abc: 6.5547 7.8063 8.0358
angles: 60.94 88.80 87.52
With the nearest neighbours (Å) after each atom.
Positions (direct):
S  0.3657  0.2972  0.5775  1 S 2.07
K  0.7500  0.3646  0.2709  8 S 3.33-3.46
S  0.9797  0.7953  0.9851  2 Nb 2.36-2.57
Nb  0.2500  0.0559  0.8881  6 S 2.36-2.57
S  0.4797  0.7805  0.0149  2 Nb 2.36-2.57
S  0.6343  0.7028  0.4225  1 S 2.07
Nb  0.7500  0.9441  0.1119  6 S 2.36-2.57
S  0.1343  0.1253  0.5775  1 S 2.07
S  0.5203  0.2195  0.9851  2 Nb 2.36-2.57
K  0.2500  0.6354  0.7291  8 S 3.33-3.46
S  0.8657  0.8747  0.4225  1 S 2.07
S  0.0203  0.2047  0.0149  2 Nb 2.36-2.57

Results
As for the space group: C2/c. Its magnetization is 0.00 μB/atom.

It is model ii that is most stable; the runner-up trails by 404 meV per atom.

Model i:
Density functional theory data (GGA-PBE) for crystalline KNbSb3 at its relaxed geometry.

abc: 5.4594 5.4594 5.4594
angles: 90.00 90.00 90.00
With the nearest neighbours (Å) after each atom.
Positions (direct):
Sb  0.5000  0.0000  0.0000  2 Nb 2.73
Nb  0.0000  0.0000  0.0000  6 Sb 2.73
Sb  0.0000  0.5000  0.0000  2 Nb 2.73
K  0.5000  0.5000  0.5000  12 Sb 3.86
Sb  0.0000  0.0000  0.5000  2 Nb 2.73

Results
As for the space group: Pm-3m. Its magnetization is 0.00 μB/atom.

Model ii:
Density functional theory data (GGA-PBE) for crystalline KNbSb3 at its relaxed geometry.

abc: 5.5197 5.5197 5.5197
angles: 90.00 90.00 90.00
With the nearest neighbours (Å) after each atom.
Positions (direct):
K  0.0000  0.0000  0.0000  6 Sb 2.76
Sb  0.0000  0.5000  0.0000  2 K 2.76
Sb  0.5000  0.0000  0.0000  2 K 2.76
Nb  0.5000  0.5000  0.5000  12 Sb 3.90
Sb  0.0000  0.0000  0.5000  2 K 2.76

Results
As for the space group: Pm-3m. Its magnetization is 0.06 μB/atom.

It is model i that is most stable; the runner-up trails by 1973 meV per atom.

Model i:
Density functional theory data (GGA-PBE) for crystalline KNb2Sb2 at its relaxed geometry.

abc: 5.3503 5.3503 5.9951
angles: 63.50 63.50 90.00
With the nearest neighbours (Å) after each atom.
Positions (direct):
Nb  0.3700  0.3700  0.2600  1 Nb 2.42
K  0.0000  0.0000  0.0000  2 Nb 3.44, 8 Sb 3.54
Sb  0.2500  0.7500  0.5000  4 Nb 2.90
Nb  0.6300  0.6300  0.7400  1 Nb 2.42
Sb  0.7500  0.2500  0.5000  4 Nb 2.90

Results
As for the space group: I4/mmm. Its magnetization is 0.00 μB/atom.

Model ii:
Density functional theory data (GGA-PBE) for crystalline KNb2Sb2 at its relaxed geometry.

abc: 4.2497 4.2497 7.9608
angles: 74.52 74.52 90.00
With the nearest neighbours (Å) after each atom.
Positions (direct):
K  0.0000  0.0000  0.0000  8 Sb 3.50
Nb  0.2500  0.7500  0.5000  4 Sb 2.84, 4 Nb 3.01
Nb  0.7500  0.2500  0.5000  4 Sb 2.84, 4 Nb 3.01
Sb  0.3777  0.3777  0.2446  4 Nb 2.84
Sb  0.6223  0.6223  0.7554  4 Nb 2.84

Results
As for the space group: I4/mmm. Its magnetization is 0.00 μB/atom.

It is model ii that is most stable; the runner-up trails by 352 meV per atom.